1.
BaNa3Tl | GGA-PBE | relaxed

## Properties
**ΔE_f**: 3.32 eV per formula unit
**DOS(E_F)**: 5.17 states/eV/cell
**Size of the total moment**: 0.00 Bohr magnetons per cell
**Energy above the lowest structure with this stoichiometry**: 761 meV per atom
**Calculated total energy**: -0.985 eV per atom

a b c (Å): 6.8888 6.8888 6.8888
angles (deg): 90.00 90.00 90.00
Atoms (fractional coordinates):
Ba 0.0000 0.0000 0.0000
Na 0.0000 0.0000 0.5000
Na 0.0000 0.5000 0.0000
Na 0.5000 0.0000 0.0000
Tl 0.5000 0.5000 0.5000

***

2.
Ba2Na2Tl | GGA-PBE | relaxed

## Properties
**ΔE_f**: -0.58 eV per formula unit
**DOS(E_F)**: 3.82 states/eV/cell
**Size of the total moment**: 0.00 Bohr magnetons per cell
**Energy above the lowest structure with this stoichiometry**: 79 meV per atom
**Calculated total energy**: -1.886 eV per atom

a b c (Å): 11.5877 11.5877 11.5877
angles (deg): 157.88 157.88 31.48
Atoms (fractional coordinates):
Ba 0.0897 0.0897 0.0000
Ba 0.9103 0.9103 0.0000
Na 0.2500 0.7500 0.5000
Na 0.7500 0.2500 0.5000
Tl 0.5000 0.5000 0.0000